# 1
Here is a geometry-optimized MnGaHg2Pb structure from Alexandria via LeMat-Bulk. Energies are from PBE.

Summary:
Final energy in eV per atom: -2.8680
Energy relative to the elements in eV per atom: 0.434
Distance to the lowest polymorph of the same formula in kJ/mol of formula units: 12.2

abc: 5.190 5.190 4.907
angles: 90.00 90.00 90.00
Space group P4/mmm (No. 123)
Symmetry-distinct sites (fractional):
Mn  0.000  0.000  0.000 [1 per cell]
Ga  0.000  0.000  0.500 [1 per cell]
Hg  0.000  0.500  0.500 [2 per cell]
Pb  0.500  0.500  0.000 [1 per cell]



# 2
Here is a geometry-optimized AcRhSe structure from Alexandria via LeMat-Bulk. Energies are from PBE.

Summary:
Final energy in eV per atom: -5.5360
Distance to the lowest polymorph of the same formula in kJ/mol of formula units: 195.8
Energy relative to the elements, uncorrected in meV/atom: -555

abc: 3.733 3.733 10.335
angles: 90.00 90.00 90.00
Space group I4mm (No. 107)
Symmetry-distinct sites (fractional):
Ac  0.000  0.000  0.000 [2 per cell]
Rh  0.000  0.000  0.703 [2 per cell]
Se  0.000  0.000  0.287 [2 per cell]



# 3
Here is a geometry-optimized CeSnAs structure from Alexandria via LeMat-Bulk. Energies are from PBE.

Summary:
Final energy in eV per atom: -5.4197
Energy relative to the elements in eV per atom: -0.558

abc: 7.7754 7.7754 13.5793
angles: 90.00 90.00 120.00
Space group R3 (No. 146, hexagonal axes)
Symmetry-distinct sites (fractional):
Ce  0.0367  0.6995  0.0000 [9 per cell]
Sn  0.0896  0.4140  0.4934 [9 per cell]
As  0.0000  0.0000  0.1568 [3 per cell]
As  0.0000  0.0000  0.4575 [3 per cell]
As  0.0000  0.0000  0.6499 [3 per cell]